## GaNiI2O (GGA+U)

Data for a relaxed structure of GaNiI2O.

Cell and atoms, written as POSCAR:
```
GaNiI2O
1.0
-0.413 3.814 4.281
-1.914 -4.137 3.502
3.404 -0.739 0.987
O Ga Ni I
1 1 1 2
Direct
0.000 0.000 0.500
0.000 0.000 0.000
0.500 0.500 0.500
0.000 0.500 0.000
0.500 0.000 0.000
```

## Properties
For the relative energy among the computed polymorphs, the calculation gives 0.000 eV/atom. The space group is P4/mmm. For the mass density, the calculation gives 5.53 Mg/m³. As for the magnetic moment: 1.035 μB/f.u.